[1]
This record from Alexandria via LeMat-Bulk describes LiReSn2Bi after structural relaxation. The functional is PBE.

Cell: 5.934 5.196 5.934 Å, 90.00 90.00 90.00°
Each line ends with the local moment (μB).
Atoms (fractional coordinates):
Re  0.000  0.500  0.000  2.19
Li  0.500  0.500  0.500  -0.01
Bi  0.000  0.000  0.000  -0.06
Sn  0.000  0.000  0.500  -0.02
Sn  0.500  0.000  0.000  -0.07

Output
* final energy: -3.827 eV/atom
* ΔE_f: 1.4225 eV/atom
* size of the total moment: 2.4 μB per formula unit
* DOS(E_F): 3.6 states/eV/cell
* calculated volume: 36.60 Å³/atom
* symmetry: P4/mmm (123)

[2]
This record from Alexandria via LeMat-Bulk describes LiZrRe2Bi after structural relaxation. The functional is PBE.

Cell: 5.065 5.395 5.065 Å, 90.00 90.00 90.00°
Each line ends with the local moment (μB).
Atoms (fractional coordinates):
Re  0.000  0.000  0.500  1.21
Re  0.500  0.000  0.000  1.17
Bi  0.000  0.000  0.000  0.00
Zr  0.000  0.500  0.000  -0.34
Li  0.500  0.500  0.500  -0.01

Output
* final energy: -5.575 eV/atom
* ΔE_f: 2.2731 eV/atom
* size of the total moment: 2.1 μB per formula unit
* DOS(E_F): 7.1 states/eV/cell
* calculated volume: 27.68 Å³/atom
* symmetry: P4/mmm (123)

[3]
This record from Alexandria via LeMat-Bulk describes LiBi2Rh after structural relaxation. The functional is PBE.

Cell: 3.429 3.429 7.471 Å, 90.00 90.00 90.00°
Atoms (fractional coordinates):
Rh  0.500  0.500  0.000
Bi  0.000  0.000  0.775
Bi  0.000  0.000  0.225
Li  0.500  0.500  0.500

Output
* final energy: -4.469 eV/atom
* ΔE_f: -0.2118 eV/atom
* size of the total moment: 0.0 μB per formula unit
* DOS(E_F): 2.2 states/eV/cell
* calculated volume: 21.96 Å³/atom
* symmetry: P4/mmm (123)